[1]
LiLa3Nd4S8 (PBE, optimized geometry); E_tot = -6.315 eV/atom; ΔE_f (raw) = -2015 meV per atom; mass density = 5.4 g/cm3
1.0
-0.553 5.005 -6.419
-6.988 3.057 2.986
6.733 0.004 4.607
Nd Li S La
4 1 8 3
direct
0.500 0.000 0.000 Nd
0.000 0.000 0.500 Nd
0.500 0.000 0.500 Nd
0.000 0.000 0.000 Nd
0.000 0.500 0.000 Li
0.752 0.755 0.503 S
0.758 0.748 0.003 S
0.755 0.252 0.997 S
0.755 0.252 0.509 S
0.245 0.748 0.003 S
0.248 0.245 0.497 S
0.242 0.252 0.997 S
0.245 0.748 0.491 S
0.000 0.500 0.500 La
0.500 0.500 0.000 La
0.500 0.500 0.500 La

[2]
LiLa2Nd3S6 (PBE, optimized geometry); E_tot = -6.232 eV/atom; ΔE_f (raw) = -1996 meV per atom; mass density = 5.3 g/cm3
1.0
-4.607 3.416 4.089
0.014 -7.041 -0.194
5.929 1.088 3.738
Nd La S Li
3 2 6 1
direct
0.834 0.166 0.500 Nd
0.166 0.834 0.500 Nd
0.500 0.500 0.500 Nd
0.334 0.666 0.000 La
0.666 0.334 0.000 La
0.760 0.760 0.247 S
0.594 0.918 0.751 S
0.918 0.594 0.751 S
0.406 0.082 0.249 S
0.240 0.240 0.753 S
0.082 0.406 0.249 S
0.000 0.000 0.000 Li